[1]
Here is an optimized crystal structure of PmScTl2O6 from the Alexandria database. Energies are from PBE.

Lattice parameters (Å, degrees): 5.7694 5.7696 6.0803 61.68 61.68 60.00
Fractional coordinates of all 10 atoms:
O (0.1300, 0.4090, 0.7682)
O (0.4090, 0.6928, 0.7682)
O (0.6928, 0.1300, 0.7683)
Pm (0.8065, 0.8065, 0.5805)
O (0.2125, 0.9428, 0.2500)
Tl (0.5320, 0.5320, 0.4040)
Tl (0.0263, 0.0263, 0.9211)
Sc (0.3150, 0.3150, 0.0549)
O (0.5947, 0.2125, 0.2500)
O (0.9428, 0.5947, 0.2500)

Calculated values
E_form (uncorrected)	-2014	meV/atom
total energy	-6.57	eV/atom
total magnetic moment	0.00	μB per formula unit
crystal system	trigonal

[2]
Here is an optimized crystal structure of CrTcTeI2 from the Alexandria database. Energies are from PBE.

Lattice parameters (Å, degrees): 5.4378 5.4378 5.0978 90.00 90.00 90.00
Fractional coordinates of all 5 atoms:
Tc (0.5000, 0.5000, 0.5000)
Te (0.0000, 0.0000, 0.5000)
I (0.5000, 0.0000, 0.0000)
Cr (0.0000, 0.0000, 0.0000)
I (0.0000, 0.5000, 0.0000)

Calculated values
E_form (uncorrected)	1179	meV/atom
total energy	-4.07	eV/atom
total magnetic moment	4.90	μB per formula unit
crystal system	tetragonal

[3]
Here is an optimized crystal structure of LiSb3 from the Alexandria database. Energies are from PBE.

Lattice parameters (Å, degrees): 4.6898 4.6898 4.6898 90.00 90.00 90.00
Fractional coordinates of all 4 atoms:
Sb (0.5000, 0.5000, 0.0000)
Sb (0.0000, 0.5000, 0.5000)
Sb (0.5000, 0.0000, 0.5000)
Li (0.0000, 0.0000, 0.0000)

Calculated values
E_form (uncorrected)	-47	meV/atom
total energy	-3.62	eV/atom
total magnetic moment	0.00	μB per formula unit
crystal system	cubic

[4]
Here is an optimized crystal structure of Tl2Co from the Alexandria database. Energies are from PBE.

Lattice parameters (Å, degrees): 3.1901 8.5031 9.8675 90.00 90.00 90.00
Fractional coordinates of all 12 atoms:
Co (0.7500, 0.7493, 0.7882)
Tl (0.7500, 0.2515, 0.9848)
Tl (0.2500, 0.2485, 0.4848)
Tl (0.7500, 0.5004, 0.2510)
Co (0.7500, 0.2493, 0.7118)
Tl (0.2500, 0.4996, 0.7490)
Tl (0.7500, 0.0004, 0.2490)
Co (0.2500, 0.2507, 0.2118)
Co (0.2500, 0.7507, 0.2882)
Tl (0.2500, 0.9996, 0.7510)
Tl (0.2500, 0.7485, 0.0152)
Tl (0.7500, 0.7515, 0.5152)

Calculated values
total energy	-3.58	eV/atom
total magnetic moment	0.34	μB per formula unit
crystal system	orthorhombic

[5]
Here is an optimized crystal structure of Sm4TePbSe2 from the Alexandria database. Energies are from PBE.

Lattice parameters (Å, degrees): 4.3309 7.5157 7.5148 70.61 90.00 90.00
Fractional coordinates of all 8 atoms:
Pb (0.5000, 0.5000, 0.0000)
Sm (0.0000, 0.7661, 0.7474)
Sm (0.5000, 0.7706, 0.2376)
Sm (0.5000, 0.2294, 0.7624)
Se (0.0000, 0.0000, 0.0000)
Sm (0.0000, 0.2339, 0.2526)
Te (0.0000, 0.5000, 0.5000)
Se (0.5000, 0.0000, 0.5000)

Calculated values
E_form (uncorrected)	-1402	meV/atom
total energy	-5.49	eV/atom
total magnetic moment	0.00	μB per formula unit
crystal system	monoclinic

[6]
Here is an optimized crystal structure of ErPa2Al from the Alexandria database. Energies are from PBE.

Lattice parameters (Å, degrees): 4.9840 4.3807 4.3807 90.00 90.00 90.00
Fractional coordinates of all 4 atoms:
Pa (0.0000, 0.5000, 0.0000)
Al (0.5000, 0.0000, 0.0000)
Er (0.5000, 0.5000, 0.5000)
Pa (0.0000, 0.0000, 0.5000)

Calculated values
total energy	-6.86	eV/atom
total magnetic moment	0.00	μB per formula unit
crystal system	tetragonal

[7]
Here is an optimized crystal structure of BeTlSe2 from the Alexandria database. Energies are from PBE.

Lattice parameters (Å, degrees): 5.6727 5.6727 5.6727 144.53 105.88 84.95
Fractional coordinates of all 4 atoms:
Se (0.0743, 0.0743, 0.0000)
Se (0.4257, 0.4257, 0.0000)
Be (0.2500, 0.7500, 0.5000)
Tl (0.7500, 0.2500, 0.5000)

Calculated values
E_form (uncorrected)	-159	meV/atom
total energy	-3.42	eV/atom
total magnetic moment	0.00	μB per formula unit
crystal system	orthorhombic

[8]
Here is an optimized crystal structure of GaPI2N from the Alexandria database. Energies are from PBE.

Lattice parameters (Å, degrees): 5.7443 5.7443 3.5981 90.00 90.00 90.00
Fractional coordinates of all 5 atoms:
P (0.5000, 0.5000, 0.5000)
I (0.5000, 0.0000, 0.0000)
N (0.0000, 0.0000, 0.5000)
I (0.0000, 0.5000, 0.0000)
Ga (0.0000, 0.0000, 0.0000)

Calculated values
E_form (uncorrected)	967	meV/atom
total energy	-3.01	eV/atom
total magnetic moment	0.00	μB per formula unit
crystal system	tetragonal

[9]
Here is an optimized crystal structure of NaH3Pd from the Alexandria database. Energies are from PBE.

Lattice parameters (Å, degrees): 6.1213 2.8747 6.1331 76.31 78.37 103.25
Fractional coordinates of all 10 atoms:
H (0.2159, 0.8302, 0.5707)
Pd (0.3463, 0.3435, 0.6706)
Pd (0.8547, 0.8522, 0.1621)
H (0.7548, 0.3689, 0.0318)
Na (0.3644, 0.0999, 0.1803)
H (0.1005, 0.0979, 0.9164)
H (0.6005, 0.5979, 0.4163)
H (0.9851, 0.3655, 0.2621)
H (0.4462, 0.8269, 0.8009)
Na (0.8366, 0.0936, 0.6525)

Calculated values
total energy	-3.46	eV/atom
total magnetic moment	0.00	μB per formula unit
crystal system	triclinic

[10]
Here is an optimized crystal structure of BeZn3Au3 from the Alexandria database. Energies are from PBE.

Lattice parameters (Å, degrees): 6.0996 6.0996 6.2887 94.93 94.93 100.73
Fractional coordinates of all 14 atoms:
Zn (0.3905, 0.3905, 0.6555)
Be (0.3721, 0.3721, 0.0489)
Zn (0.7386, 0.2614, 0.0000)
Au (0.1145, 0.4407, 0.2937)
Zn (0.8414, 0.1586, 0.5000)
Zn (0.2614, 0.7386, 0.0000)
Zn (0.6095, 0.6095, 0.3445)
Au (0.4407, 0.1145, 0.2937)
Zn (0.1586, 0.8414, 0.5000)
Au (0.1044, 0.1044, 0.8393)
Au (0.8855, 0.5593, 0.7063)
Au (0.8956, 0.8956, 0.1607)
Au (0.5593, 0.8855, 0.7063)
Be (0.6279, 0.6279, 0.9511)

Calculated values
total energy	-2.55	eV/atom
total magnetic moment	0.00	μB per formula unit
crystal system	monoclinic

[11]
Here is an optimized crystal structure of La2AgSnBr from the Alexandria database. Energies are from PBE.

Lattice parameters (Å, degrees): 5.9723 4.9832 5.9723 90.00 90.00 90.00
Fractional coordinates of all 5 atoms:
La (0.0000, 0.0000, 0.5000)
Sn (0.0000, 0.5000, 0.0000)
Br (0.5000, 0.5000, 0.5000)
La (0.5000, 0.0000, 0.0000)
Ag (0.0000, 0.0000, 0.0000)

Calculated values
E_form (uncorrected)	-211	meV/atom
total energy	-3.89	eV/atom
total magnetic moment	0.01	μB per formula unit
crystal system	tetragonal

[12]
Here is an optimized crystal structure of Ag2PtAu from the Alexandria database. Energies are from PBE.

Lattice parameters (Å, degrees): 6.1410 6.1410 7.4265 65.58 65.58 90.00
Fractional coordinates of all 8 atoms:
Ag (0.1369, 0.6250, 0.2500)
Ag (0.3750, 0.3869, 0.7500)
Pt (0.2500, 0.7500, 0.5000)
Au (0.0000, 0.0000, 0.0000)
Ag (0.6131, 0.1250, 0.2500)
Ag (0.8750, 0.8631, 0.7500)
Pt (0.5000, 0.5000, 0.0000)
Au (0.7500, 0.2500, 0.5000)

Calculated values
total energy	-2.77	eV/atom
total magnetic moment	0.00	μB per formula unit
crystal system	tetragonal

[13]
Here is an optimized crystal structure of Sr2CrCo from the Alexandria database. Energies are from PBE.

Lattice parameters (Å, degrees): 6.9631 6.9631 6.9631 146.29 139.08 54.02
Fractional coordinates of all 4 atoms:
Sr (0.7480, 0.2480, 0.5000)
Cr (0.3304, 0.8304, 0.5000)
Co (0.4103, 0.4103, 0.0000)
Sr (0.0112, 0.0112, 0.0000)

Calculated values
total energy	-4.48	eV/atom
total magnetic moment	3.18	μB per formula unit
crystal system	orthorhombic

[14]
Here is an optimized crystal structure of Zn5Cu3 from the Alexandria database. Energies are from PBE.

Lattice parameters (Å, degrees): 2.9889 2.9889 12.0125 90.00 90.00 90.00
Fractional coordinates of all 8 atoms:
Cu (0.5000, 0.5000, 0.1206)
Zn (0.5000, 0.5000, 0.3784)
Zn (0.0000, 0.0000, 0.0000)
Cu (0.0000, 0.0000, 0.5000)
Zn (0.5000, 0.5000, 0.6216)
Cu (0.5000, 0.5000, 0.8794)
Zn (0.0000, 0.0000, 0.7585)
Zn (0.0000, 0.0000, 0.2415)

Calculated values
total energy	-2.40	eV/atom
total magnetic moment	0.00	μB per formula unit
crystal system	tetragonal